# 1
First-principles (PBE-GGA) data for PdPt2S2 after structural relaxation, as listed in Alexandria via LeMat-Bulk.

Values from the calculation:
ΔE_f (raw): 0.40 eV per atom
Energy above the lowest structure with this stoichiometry: 202.4 meV per atom
E_tot: -4.708 eV per atom

Unit cell a=6.264 b=6.264 c=6.264 alpha=143.97 beta=143.97 gamma=51.87
Element x y z (fractional)
Pd 0.000 0.000 0.000
Pt 0.250 0.750 0.500
Pt 0.750 0.250 0.500
S 0.393 0.393 0.000
S 0.607 0.607 0.000

# 2
First-principles (PBE-GGA) data for PdPt3S after structural relaxation, as listed in Alexandria via LeMat-Bulk.

Values from the calculation:
ΔE_f (raw): 0.39 eV per atom
Energy above the lowest structure with this stoichiometry: 0.0 meV per atom
E_tot: -5.103 eV per atom

Unit cell a=4.466 b=4.466 c=4.466 alpha=90.00 beta=90.00 gamma=90.00
Element x y z (fractional)
Pd 0.000 0.000 0.000
Pt 0.000 0.500 0.500
Pt 0.500 0.000 0.500
Pt 0.500 0.500 0.000
S 0.500 0.500 0.500

# 3
First-principles (PBE-GGA) data for Pd3Pt5S12 after structural relaxation, as listed in Alexandria via LeMat-Bulk.

Values from the calculation:
ΔE_f (raw): 0.04 eV per atom
E_tot: -4.726 eV per atom

Unit cell a=12.412 b=12.412 c=12.412 alpha=109.47 beta=109.47 gamma=109.47
Element x y z (fractional)
Pd 0.125 0.250 0.375
Pd 0.125 0.375 0.750
Pd 0.250 0.375 0.125
Pd 0.250 0.875 0.625
Pd 0.375 0.125 0.250
Pd 0.375 0.750 0.125
Pd 0.625 0.250 0.875
Pd 0.625 0.875 0.750
Pd 0.750 0.125 0.375
Pd 0.750 0.625 0.875
Pd 0.875 0.625 0.250
Pd 0.875 0.750 0.625
Pt 0.000 0.000 0.000
Pt 0.000 0.000 0.500
Pt 0.000 0.500 0.000
Pt 0.000 0.500 0.500
Pt 0.125 0.750 0.875
Pt 0.125 0.875 0.250
Pt 0.250 0.125 0.875
Pt 0.250 0.625 0.375
Pt 0.375 0.250 0.625
Pt 0.375 0.625 0.750
Pt 0.500 0.000 0.000
Pt 0.500 0.000 0.500
Pt 0.500 0.500 0.000
Pt 0.500 0.500 0.500
Pt 0.625 0.375 0.250
Pt 0.625 0.750 0.375
Pt 0.750 0.375 0.625
Pt 0.750 0.875 0.125
Pt 0.875 0.125 0.750
Pt 0.875 0.250 0.125
S 0.044 0.224 0.102
S 0.044 0.319 0.942
S 0.058 0.602 0.378
S 0.058 0.956 0.681
S 0.102 0.044 0.224
S 0.102 0.558 0.878
S 0.122 0.724 0.681
S 0.122 0.898 0.442
S 0.181 0.224 0.622
S 0.181 0.456 0.558
S 0.224 0.102 0.044
S 0.224 0.622 0.181
S 0.276 0.319 0.878
S 0.276 0.456 0.398
S 0.319 0.878 0.276
S 0.319 0.942 0.044
S 0.378 0.058 0.602
S 0.378 0.819 0.776
S 0.398 0.276 0.456
S 0.398 0.622 0.942
S 0.442 0.122 0.898
S 0.442 0.819 0.544
S 0.456 0.398 0.276
S 0.456 0.558 0.181
S 0.544 0.442 0.819
S 0.544 0.602 0.724
S 0.558 0.181 0.456
S 0.558 0.878 0.102
S 0.602 0.378 0.058
S 0.602 0.724 0.544
S 0.622 0.181 0.224
S 0.622 0.942 0.398
S 0.681 0.058 0.956
S 0.681 0.122 0.724
S 0.724 0.544 0.602
S 0.724 0.681 0.122
S 0.776 0.378 0.819
S 0.776 0.898 0.956
S 0.819 0.544 0.442
S 0.819 0.776 0.378
S 0.878 0.102 0.558
S 0.878 0.276 0.319
S 0.898 0.442 0.122
S 0.898 0.956 0.776
S 0.942 0.044 0.319
S 0.942 0.398 0.622
S 0.956 0.681 0.058
S 0.956 0.776 0.898